PBE+U Ti4CoO8, relaxed; energy = -109.9 eV per cell; SG = R-3m, No. 166
1.0
5.283 0.000 -2.850
-3.410 4.940 0.000
-0.213 -0.147 5.926
Ti Co O
4 1 8
Direct
0.000 0.000 0.000
0.000 0.500 0.000
0.500 0.500 0.000
0.500 0.000 0.000
0.000 0.500 0.500
0.466 0.733 0.199
0.534 0.267 0.801
0.479 0.239 0.215
0.025 0.264 0.785
0.521 0.761 0.785
0.025 0.761 0.785
0.975 0.239 0.215
0.975 0.736 0.215